Entry 1:
CsHfAl3 | PBE-GGA | optimized geometry

Summary:
excess energy over the best structure of this formula in the dataset: 1464 meV/atom
ΔE_f: 2.112 eV/atom

a = 5.368 Å, b = 5.368 Å, c = 5.368 Å
α = 90.00°, β = 90.00°, γ = 90.00°
Fractional coordinates of all 5 atoms:
1 Cs 0.000 0.000 0.000
2 Hf 0.500 0.500 0.500
3 Al 0.000 0.500 0.000
4 Al 0.000 0.000 0.500
5 Al 0.500 0.000 0.000

***

Entry 2:
CsHf3Al | PBE-GGA | optimized geometry

Summary:
excess energy over the best structure of this formula in the dataset: 0 meV/atom
ΔE_f: 1.234 eV/atom

a = 5.249 Å, b = 5.249 Å, c = 5.249 Å
α = 90.00°, β = 90.00°, γ = 90.00°
Fractional coordinates of all 5 atoms:
1 Cs 0.500 0.500 0.500
2 Hf 0.000 0.500 0.000
3 Hf 0.000 0.000 0.500
4 Hf 0.500 0.000 0.000
5 Al 0.000 0.000 0.000